(1)
Nd7TlBr12 | PBE | relaxed

a = 16.8122 Å, b = 16.8122 Å, c = 8.0839 Å
α = 90.00°, β = 90.00°, γ = 120.00°
Space group R-3 (No. 148, hexagonal axes)
Symmetry-distinct sites (fractional):
Nd 0.0000 0.0000 0.0000
Nd 0.0491 0.8731 0.2773
Tl 0.0000 0.0000 0.5000
Br 0.0482 0.4510 0.1570
Br 0.0540 0.8606 0.8751

Magnetic moment   0.0368 μB per atom
Density   5.47 g/cm³
ΔE_f (raw)   -1511 meV/atom

(2)
Nd4TlBr5 | PBE | relaxed

a = 18.569 Å, b = 4.256 Å, c = 8.919 Å
α = 90.00°, β = 100.64°, γ = 90.00°
Space group C2/m (No. 12)
Symmetry-distinct sites (fractional):
Nd 0.003 0.000 0.245
Nd 0.167 0.500 0.067
Tl 0.000 0.500 0.000
Br 0.000 0.500 0.500
Br 0.167 0.000 0.818
Br 0.168 0.000 0.312

Magnetic moment   0.0000 μB per atom
Density   5.66 g/cm³
ΔE_f (raw)   -1314 meV/atom